Entry 1:
First-principles (PBE) data for a geometry-optimized HgP3 structure, as listed in Alexandria.

Output
Relative energy among the computed polymorphs: 11.26 kcal/mol of atoms
Calculated total energy: -3.54 eV per atom
D(E_F): 0.7141 states/eV per atom
Formation energy: 57.66 kJ/mol of atoms

a = 2.991 Å, b = 2.991 Å, c = 9.708 Å
α = 90.00°, β = 90.00°, γ = 118.11°
Atoms (fractional coordinates):
Hg 0.000 0.000 0.000
P 0.000 0.000 0.500
P 0.500 0.500 0.321
P 0.500 0.500 0.679

Entry 2:
First-principles (PBE) data for a geometry-optimized HgP3 structure, as listed in Alexandria.

Output
Relative energy among the computed polymorphs: 7.58 kcal/mol of atoms
Calculated total energy: -3.69 eV per atom
D(E_F): 0.5437 states/eV per atom
Formation energy: 42.25 kJ/mol of atoms

a = 7.273 Å, b = 7.273 Å, c = 6.811 Å
α = 90.00°, β = 90.00°, γ = 120.00°
Atoms (fractional coordinates):
Hg 0.000 0.000 0.000
Hg 0.000 0.000 0.500
Hg 0.333 0.667 0.250
Hg 0.667 0.333 0.750
P 0.000 0.500 0.000
P 0.000 0.500 0.500
P 0.221 0.442 0.750
P 0.221 0.779 0.750
P 0.442 0.221 0.250
P 0.500 0.000 0.000
P 0.500 0.000 0.500
P 0.500 0.500 0.000
P 0.500 0.500 0.500
P 0.558 0.779 0.750
P 0.779 0.221 0.250
P 0.779 0.558 0.250